No. 1
This record from Alexandria via LeMat-Bulk describes PbSO2 after structural relaxation. The functional is PBE.

Results
E_form (uncorrected) = -391 meV per atom
Density = 6.5 g cm⁻³
Polymorph energy (0 for the lowest one) = 0.000 eV per atom
Total magnetic moment = 0.00 Bohr magnetons per cell

Structure (CIF):
```
data_PbSO2
_cell_length_a 3.5113
_cell_length_b 3.5113
_cell_length_c 19.4440
_cell_angle_alpha 90.00
_cell_angle_beta 90.00
_cell_angle_gamma 120.00
_space_group_name_H-M_alt 'R -3 m'
_space_group_IT_number 166
_space_group_name_Hall '-R 3 2"'
loop_
_atom_site_label
_atom_site_type_symbol
_atom_site_fract_x
_atom_site_fract_y
_atom_site_fract_z
Pb1 Pb 0.0000 0.0000 0.0000
S1 S 0.0000 0.0000 0.5000
O1 O 0.0000 0.0000 0.4102
```

No. 2
This record from Alexandria via LeMat-Bulk describes K3HBr after structural relaxation. The functional is PBE.

Results
Density = 1.8 g cm⁻³
Polymorph energy (0 for the lowest one) = 0.000 eV per atom
Total magnetic moment = 0.00 Bohr magnetons per cell

Structure (CIF):
```
data_K3HBr
_cell_length_a 5.6256
_cell_length_b 5.6256
_cell_length_c 5.6256
_cell_angle_alpha 90.00
_cell_angle_beta 90.00
_cell_angle_gamma 90.00
_space_group_name_H-M_alt 'P m -3 m'
_space_group_IT_number 221
_space_group_name_Hall '-P 4 2 3'
loop_
_atom_site_label
_atom_site_type_symbol
_atom_site_fract_x
_atom_site_fract_y
_atom_site_fract_z
K1 K 0.0000 0.0000 0.5000
H1 H 0.0000 0.0000 0.0000
Br1 Br 0.5000 0.5000 0.5000
```